Compound: BaCoAs3
Source: Alexandria
Functional: PBE
Structure: optimized geometry

Properties
DOS(E_F) = 6.794 states/eV per cell
Energy relative to the lowest polymorph listed for this composition = 0.0 kJ per mole of atoms
DFT total energy = -23.930 eV/cell

Cell lengths 4.855, 4.855, 4.855 Å; angles 90.00, 90.00, 90.00 degrees
Element x y z (fractional)
As 0.000 0.500 0.000
As 0.000 0.000 0.500
As 0.500 0.000 0.000
Co 0.000 0.000 0.000
Ba 0.500 0.500 0.500


Compound: Tc3IrW
Source: Alexandria
Functional: PBE
Structure: optimized geometry

Properties
DOS(E_F) = 5.341 states/eV per cell
Energy relative to the lowest polymorph listed for this composition = 0.0 kJ per mole of atoms
DFT total energy = -42.829 eV/cell

Cell lengths 4.600, 4.600, 4.600 Å; angles 90.00, 90.00, 90.00 degrees
Element x y z (fractional)
Ir 0.500 0.500 0.500
Tc 0.000 0.500 0.000
Tc 0.000 0.000 0.500
Tc 0.500 0.000 0.000
W 0.000 0.000 0.000


Compound: LiIr2S
Source: Alexandria
Functional: PBE
Structure: optimized geometry

Properties
DOS(E_F) = 4.733 states/eV per cell
Uncorrected formation energy = 0.48 eV per formula unit
DFT total energy = -46.563 eV/cell

Cell lengths 7.211, 7.211, 5.649 Å; angles 50.33, 50.33, 90.00 degrees
Element x y z (fractional)
S 0.000 0.000 0.000
S 0.750 0.250 0.500
Ir 0.718 0.125 0.250
Ir 0.032 0.625 0.250
Ir 0.375 0.282 0.750
Ir 0.875 0.968 0.750
Li 0.500 0.500 0.000
Li 0.250 0.750 0.500


Q: Which of these has the lowest DOS(E_F)?
A: LiIr2S